[1]
Below is crystalline Cu2IrF at its relaxed geometry, with properties calculated at the GGA-PBE level.

Unit cell a=4.181 b=4.181 c=4.181 alpha=60.00 beta=60.00 gamma=60.00
Positions (direct):
Ir  0.500  0.500  0.500
Cu  0.250  0.250  0.250
Cu  0.750  0.750  0.750
F  0.000  0.000  0.000

## Properties
**Uncorrected formation energy**: 0.322 eV/atom
**D(E_F)**: 5.18 states/eV/f.u.
**Offset from the most stable computed form**: 108.6 meV/atom



[2]
Below is crystalline CuIrF3 at its relaxed geometry, with properties calculated at the GGA-PBE level.

Unit cell a=4.190 b=4.190 c=4.190 alpha=90.00 beta=90.00 gamma=90.00
Positions (direct):
Ir  0.000  0.000  0.000
Cu  0.500  0.500  0.500
F  0.000  0.500  0.000
F  0.000  0.000  0.500
F  0.500  0.000  0.000

## Properties
**Uncorrected formation energy**: -0.362 eV/atom
**D(E_F)**: 2.26 states/eV/f.u.
**Offset from the most stable computed form**: 0.0 meV/atom



[3]
Below is crystalline Cu3IrF8 at its relaxed geometry, with properties calculated at the GGA-PBE level.

Unit cell a=5.557 b=5.557 c=6.386 alpha=90.00 beta=90.00 gamma=121.80
Positions (direct):
Cu  0.000  0.500  0.236
Cu  0.500  0.500  0.000
Cu  0.500  0.000  0.764
Ir  0.500  0.500  0.500
F  0.708  0.292  0.500
F  0.701  0.299  0.000
F  0.733  0.758  0.734
F  0.758  0.733  0.266
F  0.242  0.267  0.266
F  0.267  0.242  0.734
F  0.299  0.701  0.000
F  0.292  0.708  0.500

## Properties
**Uncorrected formation energy**: -1.334 eV/atom
**D(E_F)**: 8.60 states/eV/f.u.